# MgGa2SiRu

An optimized crystal structure of MgGa2SiRu (GGA-PBE, Alexandria).

Cell lengths 4.753, 4.753, 4.490 Å; angles 90.00, 90.00, 90.00 degrees
Positions (direct):
Mg (0.000, 0.000, 0.000)
Ga (0.000, 0.500, 0.500)
Ga (0.500, 0.000, 0.500)
Si (0.500, 0.500, 0.500)
Ru (0.500, 0.500, 0.000)

Computed properties:
E, eV/f.u.: -20.047
Total moment, μB per cell: 0.00

---

# Mg2GaSnRu

An optimized crystal structure of Mg2GaSnRu (GGA-PBE, Alexandria).

Cell lengths 3.297, 4.551, 13.170 Å; angles 90.00, 90.00, 90.00 degrees
Positions (direct):
Mg (0.000, 0.000, 0.000)
Mg (0.000, 0.000, 0.338)
Mg (0.500, 0.500, 0.500)
Mg (0.500, 0.500, 0.838)
Ga (0.000, 0.000, 0.776)
Ga (0.500, 0.500, 0.276)
Sn (0.000, 0.000, 0.567)
Sn (0.500, 0.500, 0.067)
Ru (0.000, 0.500, 0.677)
Ru (0.500, 0.000, 0.177)

Computed properties:
Energy of formation, kJ per mole of atoms: -6.9
Total moment, μB per cell: 0.00

---

# MgTaGaRu

An optimized crystal structure of MgTaGaRu (GGA-PBE, Alexandria).

Cell lengths 6.343, 6.343, 6.343 Å; angles 90.00, 90.00, 90.00 degrees
Positions (direct):
Mg (0.000, 0.000, 0.000)
Mg (0.000, 0.500, 0.500)
Mg (0.500, 0.000, 0.500)
Mg (0.500, 0.500, 0.000)
Ta (0.000, 0.000, 0.500)
Ta (0.000, 0.500, 0.000)
Ta (0.500, 0.000, 0.000)
Ta (0.500, 0.500, 0.500)
Ga (0.250, 0.250, 0.250)
Ga (0.250, 0.750, 0.750)
Ga (0.750, 0.250, 0.750)
Ga (0.750, 0.750, 0.250)
Ru (0.250, 0.250, 0.750)
Ru (0.250, 0.750, 0.250)
Ru (0.750, 0.250, 0.250)
Ru (0.750, 0.750, 0.750)

Computed properties:
Energy of formation, kJ per mole of atoms: -18.3
Total moment, μB per cell: 0.00

---

# TbMgGaRu

An optimized crystal structure of TbMgGaRu (GGA-PBE, Alexandria).

Cell lengths 6.730, 6.730, 6.730 Å; angles 90.00, 90.00, 90.00 degrees
Positions (direct):
Tb (0.000, 0.000, 0.000)
Tb (0.000, 0.500, 0.500)
Tb (0.500, 0.000, 0.500)
Tb (0.500, 0.500, 0.000)
Mg (0.000, 0.000, 0.500)
Mg (0.000, 0.500, 0.000)
Mg (0.500, 0.000, 0.000)
Mg (0.500, 0.500, 0.500)
Ga (0.250, 0.250, 0.750)
Ga (0.250, 0.750, 0.250)
Ga (0.750, 0.250, 0.250)
Ga (0.750, 0.750, 0.750)
Ru (0.250, 0.250, 0.250)
Ru (0.250, 0.750, 0.750)
Ru (0.750, 0.250, 0.750)
Ru (0.750, 0.750, 0.250)

Computed properties:
Energy of formation, kJ per mole of atoms: -20.2
Total moment, μB per cell: 0.00

---

# Tb4MgGaRu2

An optimized crystal structure of Tb4MgGaRu2 (GGA-PBE, Alexandria).

Cell lengths 8.665, 8.665, 8.665 Å; angles 33.50, 33.50, 33.50 degrees
Positions (direct):
Tb (0.123, 0.123, 0.123)
Tb (0.373, 0.373, 0.373)
Tb (0.627, 0.627, 0.627)
Tb (0.877, 0.877, 0.877)
Mg (0.500, 0.500, 0.500)
Ga (0.000, 0.000, 0.000)
Ru (0.248, 0.248, 0.248)
Ru (0.752, 0.752, 0.752)

Computed properties:
Energy of formation, kJ per mole of atoms: -30.4
Total moment, μB per cell: 0.00

---

# MgGaTcRu2

An optimized crystal structure of MgGaTcRu2 (GGA-PBE, Alexandria).

Cell lengths 4.672, 4.672, 5.182 Å; angles 90.00, 90.00, 90.00 degrees
Positions (direct):
Mg (0.000, 0.000, 0.000)
Ga (0.500, 0.500, 0.000)
Tc (0.000, 0.000, 0.500)
Ru (0.000, 0.500, 0.500)
Ru (0.500, 0.000, 0.500)

Computed properties:
Energy of formation, kJ per mole of atoms: 112.1
Total moment, μB per cell: 0.02

---

# ThMgGaRu

An optimized crystal structure of ThMgGaRu (GGA-PBE, Alexandria).

Cell lengths 6.894, 6.894, 6.894 Å; angles 90.00, 90.00, 90.00 degrees
Positions (direct):
Th (0.000, 0.000, 0.000)
Th (0.000, 0.500, 0.500)
Th (0.500, 0.000, 0.500)
Th (0.500, 0.500, 0.000)
Mg (0.000, 0.000, 0.500)
Mg (0.000, 0.500, 0.000)
Mg (0.500, 0.000, 0.000)
Mg (0.500, 0.500, 0.500)
Ga (0.250, 0.250, 0.750)
Ga (0.250, 0.750, 0.250)
Ga (0.750, 0.250, 0.250)
Ga (0.750, 0.750, 0.750)
Ru (0.250, 0.250, 0.250)
Ru (0.250, 0.750, 0.750)
Ru (0.750, 0.250, 0.750)
Ru (0.750, 0.750, 0.250)

Computed properties:
Energy of formation, kJ per mole of atoms: -21.6
Total moment, μB per cell: 0.00

---

# ThMg2GaRu2

An optimized crystal structure of ThMg2GaRu2 (GGA-PBE, Alexandria).

Cell lengths 3.782, 8.493, 7.197 Å; angles 90.00, 90.00, 90.00 degrees
Positions (direct):
Th (0.000, 0.095, 0.000)
Th (0.000, 0.905, 0.500)
Mg (0.000, 0.320, 0.406)
Mg (0.000, 0.680, 0.906)
Mg (0.500, 0.436, 0.090)
Mg (0.500, 0.564, 0.590)
Ga (0.500, 0.198, 0.658)
Ga (0.500, 0.802, 0.158)
Ru (0.000, 0.373, 0.793)
Ru (0.000, 0.627, 0.293)
Ru (0.500, 0.099, 0.296)
Ru (0.500, 0.901, 0.796)

Computed properties:
Energy of formation, kJ per mole of atoms: -30.9
Total moment, μB per cell: 0.00

---

# Tm4MgGaRu2

An optimized crystal structure of Tm4MgGaRu2 (GGA-PBE, Alexandria).

Cell lengths 8.539, 8.539, 8.539 Å; angles 33.33, 33.33, 33.33 degrees
Positions (direct):
Tm (0.123, 0.123, 0.123)
Tm (0.374, 0.374, 0.374)
Tm (0.626, 0.626, 0.626)
Tm (0.877, 0.877, 0.877)
Mg (0.500, 0.500, 0.500)
Ga (0.000, 0.000, 0.000)
Ru (0.248, 0.248, 0.248)
Ru (0.752, 0.752, 0.752)

Computed properties:
Energy of formation, kJ per mole of atoms: -36.3
Total moment, μB per cell: 0.00

---

# Mg2VGaRu

An optimized crystal structure of Mg2VGaRu (GGA-PBE, Alexandria).

Cell lengths 4.736, 4.736, 4.639 Å; angles 90.00, 90.00, 90.00 degrees
Positions (direct):
Mg (0.000, 0.500, 0.000)
Mg (0.500, 0.000, 0.000)
V (0.000, 0.000, 0.500)
Ga (0.500, 0.500, 0.000)
Ru (0.500, 0.500, 0.500)

Computed properties:
Energy of formation, kJ per mole of atoms: 100.6
Total moment, μB per cell: 0.07

---

# Y4MgGaRu2

An optimized crystal structure of Y4MgGaRu2 (GGA-PBE, Alexandria).

Cell lengths 8.671, 8.671, 8.671 Å; angles 33.40, 33.40, 33.40 degrees
Positions (direct):
Y (0.123, 0.123, 0.123)
Y (0.374, 0.374, 0.374)
Y (0.626, 0.626, 0.626)
Y (0.877, 0.877, 0.877)
Mg (0.500, 0.500, 0.500)
Ga (0.000, 0.000, 0.000)
Ru (0.248, 0.248, 0.248)
Ru (0.752, 0.752, 0.752)

Computed properties:
Energy of formation, kJ per mole of atoms: -31.7
Total moment, μB per cell: 0.00

---

# Mg2ZnGaRu

An optimized crystal structure of Mg2ZnGaRu (GGA-PBE, Alexandria).

Cell lengths 2.960, 4.513, 13.129 Å; angles 90.00, 90.00, 90.00 degrees
Positions (direct):
Mg (0.000, 0.000, 0.000)
Mg (0.000, 0.000, 0.354)
Mg (0.500, 0.500, 0.500)
Mg (0.500, 0.500, 0.854)
Zn (0.000, 0.000, 0.569)
Zn (0.500, 0.500, 0.069)
Ga (0.000, 0.000, 0.768)
Ga (0.500, 0.500, 0.268)
Ru (0.000, 0.500, 0.678)
Ru (0.500, 0.000, 0.178)

Computed properties:
Energy of formation, kJ per mole of atoms: -2.9
Total moment, μB per cell: 1.29

---

# MgZnGaRu

An optimized crystal structure of MgZnGaRu (GGA-PBE, Alexandria).

Cell lengths 4.147, 4.147, 13.917 Å; angles 90.00, 90.00, 120.00 degrees
Positions (direct):
Mg (0.000, 0.000, 0.000)
Mg (0.333, 0.667, 0.667)
Mg (0.667, 0.333, 0.333)
Zn (0.000, 0.000, 0.422)
Zn (0.333, 0.667, 0.088)
Zn (0.667, 0.333, 0.755)
Ga (0.000, 0.000, 0.816)
Ga (0.333, 0.667, 0.482)
Ga (0.667, 0.333, 0.149)
Ru (0.000, 0.000, 0.202)
Ru (0.333, 0.667, 0.869)
Ru (0.667, 0.333, 0.536)

Computed properties:
Polymorph energy (0 for the lowest one), meV/atom: 135
Energy of formation, kJ per mole of atoms: -0.4
Total moment, μB per cell: 0.00

---

# MgZnGaRu

An optimized crystal structure of MgZnGaRu (GGA-PBE, Alexandria).

Cell lengths 6.219, 6.219, 6.219 Å; angles 90.00, 90.00, 90.00 degrees
Positions (direct):
Mg (0.000, 0.000, 0.000)
Mg (0.000, 0.500, 0.500)
Mg (0.500, 0.000, 0.500)
Mg (0.500, 0.500, 0.000)
Zn (0.250, 0.250, 0.250)
Zn (0.250, 0.750, 0.750)
Zn (0.750, 0.250, 0.750)
Zn (0.750, 0.750, 0.250)
Ga (0.250, 0.250, 0.750)
Ga (0.250, 0.750, 0.250)
Ga (0.750, 0.250, 0.250)
Ga (0.750, 0.750, 0.750)
Ru (0.000, 0.000, 0.500)
Ru (0.000, 0.500, 0.000)
Ru (0.500, 0.000, 0.000)
Ru (0.500, 0.500, 0.500)

Computed properties:
Polymorph energy (0 for the lowest one), meV/atom: 0
Energy of formation, kJ per mole of atoms: -13.5
Total moment, μB per cell: 0.00

---

# Mg2GaS4

An optimized crystal structure of Mg2GaS4 (GGA-PBE, Alexandria).

Cell lengths 4.759, 4.759, 12.750 Å; angles 90.00, 90.00, 90.00 degrees
Positions (direct):
Mg (0.000, 0.000, 0.120)
Mg (0.000, 0.000, 0.880)
Mg (0.500, 0.500, 0.380)
Mg (0.500, 0.500, 0.620)
Ga (0.000, 0.000, 0.500)
Ga (0.500, 0.500, 0.000)
S (0.000, 0.000, 0.305)
S (0.000, 0.000, 0.695)
S (0.000, 0.500, 0.000)
S (0.000, 0.500, 0.500)
S (0.500, 0.000, 0.000)
S (0.500, 0.000, 0.500)
S (0.500, 0.500, 0.195)
S (0.500, 0.500, 0.805)

Computed properties:
E, eV/f.u.: -25.870
Total moment, μB per cell: 1.71

---

# Mg3GaS

An optimized crystal structure of Mg3GaS (GGA-PBE, Alexandria).

Cell lengths 4.985, 4.985, 4.985 Å; angles 90.00, 90.00, 90.00 degrees
Positions (direct):
Mg (0.000, 0.000, 0.500)
Mg (0.000, 0.500, 0.000)
Mg (0.500, 0.000, 0.000)
Ga (0.000, 0.000, 0.000)
S (0.500, 0.500, 0.500)

Computed properties:
Polymorph energy (0 for the lowest one), meV/atom: 252
Total moment, μB per cell: 0.00

---

# MgGa2S4

An optimized crystal structure of MgGa2S4 (GGA-PBE, Alexandria).

Cell lengths 7.345, 7.345, 7.345 Å; angles 60.00, 60.00, 60.00 degrees
Positions (direct):
Mg (0.125, 0.125, 0.125)
Mg (0.875, 0.875, 0.875)
Ga (0.000, 0.500, 0.500)
Ga (0.500, 0.000, 0.500)
Ga (0.500, 0.500, 0.000)
Ga (0.500, 0.500, 0.500)
S (0.261, 0.261, 0.261)
S (0.261, 0.261, 0.717)
S (0.261, 0.717, 0.261)
S (0.283, 0.739, 0.739)
S (0.717, 0.261, 0.261)
S (0.739, 0.283, 0.739)
S (0.739, 0.739, 0.283)
S (0.739, 0.739, 0.739)

Computed properties:
E, eV/f.u.: -29.648
Total moment, μB per cell: 0.00

---

# MgGa2S4

An optimized crystal structure of MgGa2S4 (GGA-PBE, Alexandria).

Cell lengths 13.138, 13.138, 6.457 Å; angles 99.02, 99.02, 120.63 degrees
Positions (direct):
Mg (0.044, 0.956, 0.750)
Mg (0.131, 0.869, 0.250)
Mg (0.220, 0.780, 0.750)
Mg (0.780, 0.220, 0.250)
Mg (0.869, 0.131, 0.750)
Mg (0.956, 0.044, 0.250)
Ga (0.113, 0.514, 0.146)
Ga (0.162, 0.413, 0.614)
Ga (0.242, 0.323, 0.112)
Ga (0.323, 0.242, 0.612)
Ga (0.413, 0.162, 0.114)
Ga (0.486, 0.887, 0.354)
Ga (0.514, 0.113, 0.646)
Ga (0.587, 0.838, 0.886)
Ga (0.677, 0.758, 0.388)
Ga (0.758, 0.677, 0.888)
Ga (0.838, 0.587, 0.386)
Ga (0.887, 0.486, 0.854)
S (0.027, 0.761, 0.522)
S (0.060, 0.148, 0.977)
S (0.089, 0.655, 0.004)
S (0.148, 0.060, 0.477)
S (0.188, 0.581, 0.511)
S (0.239, 0.973, 0.978)
S (0.251, 0.486, 0.995)
S (0.318, 0.400, 0.495)
S (0.345, 0.911, 0.496)
S (0.400, 0.318, 0.995)
S (0.419, 0.812, 0.989)
S (0.486, 0.251, 0.495)
S (0.514, 0.749, 0.505)
S (0.581, 0.188, 0.011)
S (0.600, 0.682, 0.005)
S (0.655, 0.089, 0.504)
S (0.682, 0.600, 0.505)
S (0.749, 0.514, 0.005)
S (0.761, 0.027, 0.022)
S (0.812, 0.419, 0.489)
S (0.852, 0.940, 0.523)
S (0.911, 0.345, 0.996)
S (0.940, 0.852, 0.023)
S (0.973, 0.239, 0.478)

Computed properties:
E, eV/f.u.: -30.495
Total moment, μB per cell: 0.00

---

# Mg2Ga2S5

An optimized crystal structure of Mg2Ga2S5 (GGA-PBE, Alexandria).

Cell lengths 3.733, 3.733, 15.940 Å; angles 90.00, 90.00, 120.00 degrees
Positions (direct):
Mg (0.333, 0.667, 0.095)
Mg (0.667, 0.333, 0.905)
Ga (0.333, 0.667, 0.683)
Ga (0.667, 0.333, 0.317)
S (0.000, 0.000, 0.000)
S (0.333, 0.667, 0.381)
S (0.333, 0.667, 0.821)
S (0.667, 0.333, 0.179)
S (0.667, 0.333, 0.619)

Computed properties:
E, eV/f.u.: -39.048
Total moment, μB per cell: 0.00

---

# MgGa2S2

An optimized crystal structure of MgGa2S2 (GGA-PBE, Alexandria).

Cell lengths 4.931, 4.931, 8.075 Å; angles 90.00, 90.00, 90.00 degrees
Positions (direct):
Mg (0.000, 0.000, 0.000)
Mg (0.500, 0.500, 0.500)
Ga (0.000, 0.000, 0.346)
Ga (0.000, 0.000, 0.654)
Ga (0.500, 0.500, 0.154)
Ga (0.500, 0.500, 0.846)
S (0.000, 0.500, 0.250)
S (0.000, 0.500, 0.750)
S (0.500, 0.000, 0.250)
S (0.500, 0.000, 0.750)

Computed properties:
Polymorph energy (0 for the lowest one), meV/atom: 0
Total moment, μB per cell: 0.00